Entry 1:
# Tc2AgGe

A geometry-optimized Tc2AgGe structure (GGA-PBE, Alexandria).

Properties
Size of the total moment, μB per formula unit: 0.0
E_form, eV/f.u.: 2.57

```
Tc2AgGe
1.0
-3.628 3.628 2.553
3.628 -3.628 2.553
3.628 3.628 -2.553
Tc Ag Ge
4 2 2
Direct
0.085 0.125 0.460 Tc
0.375 0.915 0.040 Tc
0.665 0.625 0.540 Tc
0.875 0.335 0.960 Tc
0.250 0.750 0.500 Ag
0.500 0.500 0.000 Ag
0.000 0.000 0.000 Ge
0.750 0.250 0.500 Ge
```

***

Entry 2:
# Na3Tb3CrTe8

A geometry-optimized Na3Tb3CrTe8 structure (GGA-PBE, Alexandria).

Properties
Raw formation energy, eV per atom: -1.028
Size of the total moment, μB per formula unit: 2.7

```
Na3Tb3CrTe8
1.0
4.276 2.469 7.846
-4.276 2.469 7.846
0.000 -4.938 7.846
Na Tb Cr Te
3 3 1 8
Direct
0.000 0.500 0.500 Na
0.500 0.000 0.500 Na
0.500 0.500 0.000 Na
0.000 0.000 0.500 Tb
0.000 0.500 0.000 Tb
0.500 0.000 0.000 Tb
0.500 0.500 0.500 Cr
0.245 0.245 0.245 Te
0.267 0.725 0.725 Te
0.275 0.275 0.733 Te
0.275 0.733 0.275 Te
0.725 0.267 0.725 Te
0.725 0.725 0.267 Te
0.733 0.275 0.275 Te
0.755 0.755 0.755 Te
```

***

Entry 3:
# LaTlCl

A geometry-optimized LaTlCl structure (GGA-PBE, Alexandria).

Properties
Raw formation energy, eV per atom: -0.882
Offset from the most stable computed form, eV per atom: 0.043
Size of the total moment, μB per formula unit: 0.0

```
LaTlCl
1.0
4.991 0.000 0.000
-2.496 4.323 0.000
0.000 0.000 4.216
La Tl Cl
1 1 1
Direct
0.000 0.000 0.000 La
0.667 0.333 0.500 Tl
0.333 0.667 0.000 Cl
```

***

Entry 4:
# TaOsAu2

A geometry-optimized TaOsAu2 structure (GGA-PBE, Alexandria).

Properties
Offset from the most stable computed form, eV per atom: 0.131
Size of the total moment, μB per formula unit: 0.0
E_form, eV/f.u.: 0.67

```
TaOsAu2
1.0
1.455 0.840 9.381
-1.455 0.840 9.381
0.000 -1.680 9.381
Ta Os Au
1 1 2
Direct
0.000 0.000 0.000 Ta
0.258 0.258 0.258 Os
0.506 0.506 0.506 Au
0.751 0.751 0.751 Au
```